# 1
Material: ZrAs2RuF
Method: DFT, PBE
State: relaxed

Cell: 5.209 5.209 4.020 Å, 90.00 90.00 90.00°
Positions (direct):
Zr 0.000 0.000 0.000
As 0.000 0.500 0.000
As 0.500 0.000 0.000
Ru 0.500 0.500 0.500
F 0.000 0.000 0.500

Magnetization ... 2.6 Bohr magnetons per cell
Space group ... P4/mmm, No. 123
Total DFT energy (no corrections) ... -29.992 eV for the cell shown
Fermi-level density of states ... 6.70 states/eV/f.u.

=====

# 2
Material: Zr2AsRuF
Method: DFT, PBE
State: relaxed

Cell: 4.427 4.427 4.224 Å, 90.00 90.00 90.00°
Positions (direct):
Zr 0.000 0.500 0.000
Zr 0.500 0.000 0.000
As 0.000 0.000 0.500
Ru 0.500 0.500 0.500
F 0.500 0.500 0.000

Magnetization ... 0.0 Bohr magnetons per cell
Space group ... P4/mmm, No. 123
Total DFT energy (no corrections) ... -34.928 eV for the cell shown
Fermi-level density of states ... 3.84 states/eV/f.u.

=====

# 3
Material: AsSF3
Method: DFT, PBE
State: relaxed

Cell: 6.718 6.824 6.827 Å, 114.27 93.49 119.37°
Positions (direct):
As 0.000 0.000 0.000
As 0.237 0.533 0.680
S 0.507 0.105 0.329
S 0.730 0.429 0.350
F 0.057 0.188 0.507
F 0.058 0.539 0.860
F 0.178 0.994 0.819
F 0.180 0.345 0.173
F 0.449 0.544 0.859
F 0.787 0.988 0.821

Magnetization ... 2.0 Bohr magnetons per cell
Space group ... P1, No. 1
Total DFT energy (no corrections) ... -44.654 eV for the cell shown

=====

# 4
Material: AsS5F
Method: DFT, PBE
State: relaxed

Cell: 4.516 4.687 9.429 Å, 101.83 90.95 96.58°
Positions (direct):
As 0.000 0.000 0.000
S 0.055 0.230 0.808
S 0.070 0.672 0.348
S 0.413 0.719 0.505
S 0.710 0.429 0.419
S 0.771 0.531 0.883
F 0.379 0.911 0.018

Magnetization ... 0.0 Bohr magnetons per cell
Space group ... P1, No. 1
Total DFT energy (no corrections) ... -29.575 eV for the cell shown

=====

# 5
Material: As3SF
Method: DFT, PBE
State: relaxed

Cell: 4.581 4.581 4.581 Å, 90.00 90.00 90.00°
Positions (direct):
As 0.000 0.000 0.500
As 0.000 0.500 0.000
As 0.500 0.000 0.000
S 0.500 0.500 0.500
F 0.000 0.000 0.000

Magnetization ... 0.0 Bohr magnetons per cell
Space group ... Pm-3m, No. 221
Total DFT energy (no corrections) ... -16.673 eV for the cell shown
Fermi-level density of states ... 3.13 states/eV/f.u.

=====

# 6
Material: AsSF3
Method: DFT, PBE
State: relaxed

Cell: 4.237 4.237 4.237 Å, 90.00 90.00 90.00°
Positions (direct):
As 0.000 0.000 0.000
S 0.500 0.500 0.500
F 0.000 0.000 0.500
F 0.000 0.500 0.000
F 0.500 0.000 0.000

Magnetization ... 2.0 Bohr magnetons per cell
Space group ... Pm-3m, No. 221
Total DFT energy (no corrections) ... -18.597 eV for the cell shown
Fermi-level density of states ... 2.60 states/eV/f.u.

=====

# 7
Material: As3SF
Method: DFT, PBE
State: relaxed

Cell: 4.777 4.777 4.777 Å, 90.00 90.00 90.00°
Positions (direct):
As 0.000 0.000 0.500
As 0.000 0.500 0.000
As 0.500 0.000 0.000
S 0.000 0.000 0.000
F 0.500 0.500 0.500

Magnetization ... 0.0 Bohr magnetons per cell
Space group ... Pm-3m, No. 221
Total DFT energy (no corrections) ... -17.072 eV for the cell shown
Fermi-level density of states ... 1.89 states/eV/f.u.

=====

# 8
Material: AsSF3
Method: DFT, PBE
State: relaxed

Cell: 4.291 4.291 4.291 Å, 90.00 90.00 90.00°
Positions (direct):
As 0.000 0.000 0.000
S 0.500 0.500 0.500
F 0.000 0.500 0.500
F 0.500 0.000 0.500
F 0.500 0.500 0.000

Magnetization ... 2.1 Bohr magnetons per cell
Space group ... Pm-3m, No. 221
Total DFT energy (no corrections) ... -14.768 eV for the cell shown
Fermi-level density of states ... 7.24 states/eV/f.u.

=====

# 9
Material: AsS6F2
Method: DFT, PBE
State: relaxed

Cell: 7.674 7.674 6.823 Å, 114.52 114.52 80.85°
Positions (direct):
As 0.101 0.899 0.750
As 0.899 0.101 0.250
S 0.126 0.197 0.708
S 0.126 0.393 0.209
S 0.197 0.126 0.208
S 0.319 0.655 0.384
S 0.345 0.681 0.116
S 0.393 0.126 0.709
S 0.607 0.874 0.291
S 0.655 0.319 0.884
S 0.681 0.345 0.616
S 0.803 0.874 0.792
S 0.874 0.607 0.791
S 0.874 0.803 0.292
F 0.194 0.513 0.578
F 0.487 0.806 0.922
F 0.513 0.194 0.078
F 0.806 0.487 0.422

Magnetization ... 0.0 Bohr magnetons per cell
Space group ... C2/c, No. 15
Total DFT energy (no corrections) ... -66.605 eV for the cell shown
Fermi-level density of states ... 4.12 states/eV/f.u.

=====

# 10
Material: Sc2AsSF
Method: DFT, PBE
State: relaxed

Cell: 4.696 4.696 4.270 Å, 90.00 90.00 90.00°
Positions (direct):
Sc 0.000 0.500 0.000
Sc 0.500 0.000 0.000
As 0.000 0.000 0.500
S 0.500 0.500 0.500
F 0.000 0.000 0.000

Magnetization ... 1.1 Bohr magnetons per cell
Space group ... P4/mmm, No. 123
Total DFT energy (no corrections) ... -26.781 eV for the cell shown
Fermi-level density of states ... 4.17 states/eV/f.u.

=====

# 11
Material: Tc2AsSF
Method: DFT, PBE
State: relaxed

Cell: 4.120 4.120 5.000 Å, 90.00 90.00 90.00°
Positions (direct):
Tc 0.000 0.500 0.000
Tc 0.500 0.000 0.000
As 0.000 0.000 0.500
S 0.500 0.500 0.500
F 0.500 0.500 0.000

Magnetization ... 4.5 Bohr magnetons per cell
Space group ... P4/mmm, No. 123
Total DFT energy (no corrections) ... -26.823 eV for the cell shown
Fermi-level density of states ... 4.22 states/eV/f.u.

=====

# 12
Material: ZrAsSF2
Method: DFT, PBE
State: relaxed

Cell: 3.934 3.934 5.615 Å, 90.00 90.00 90.00°
Positions (direct):
Zr 0.000 0.000 0.000
As 0.500 0.500 0.000
S 0.000 0.000 0.500
F 0.000 0.500 0.500
F 0.500 0.000 0.500

Magnetization ... 0.0 Bohr magnetons per cell
Space group ... P4/mmm, No. 123
Total DFT energy (no corrections) ... -24.940 eV for the cell shown
Fermi-level density of states ... 2.20 states/eV/f.u.

=====

# 13
Material: SbAsF2
Method: DFT, PBE
State: relaxed

Cell: 8.622 8.622 8.622 Å, 152.76 152.76 38.90°
Positions (direct):
Sb 0.000 0.000 0.000
Sb 0.750 0.250 0.500
As 0.250 0.750 0.500
As 0.500 0.500 0.000
F 0.116 0.625 0.991
F 0.375 0.366 0.491
F 0.634 0.125 0.009
F 0.875 0.884 0.509

Magnetization ... 0.0 Bohr magnetons per cell
Space group ... I-42d, No. 122
Total DFT energy (no corrections) ... -33.254 eV for the cell shown
Fermi-level density of states ... 1.48 states/eV/f.u.